Material: Pr2SmPa2Ru5
Method: DFT, PBE
State: optimized geometry

Cell and atoms, written as POSCAR:
```
Pr2SmPa2Ru5
1.0
3.927 0.000 0.000
0.000 10.634 0.000
0.000 0.000 10.634
Pr Sm Pa Ru
4 2 4 10
direct
0.000 0.677 0.177
0.000 0.323 0.823
0.000 0.177 0.323
0.000 0.823 0.677
0.000 0.000 0.000
0.000 0.500 0.500
0.000 0.125 0.625
0.000 0.875 0.375
0.000 0.625 0.875
0.000 0.375 0.125
0.500 0.222 0.069
0.500 0.778 0.931
0.500 0.069 0.778
0.500 0.722 0.431
0.500 0.931 0.222
0.500 0.278 0.569
0.500 0.569 0.722
0.500 0.431 0.278
0.500 0.500 0.000
0.500 0.000 0.500
```

Summary:
symmetry: P4/mbm (127)
ΔH_f (0 K): -2.37 eV per formula unit
density: 10.47 g cm⁻³
D(E_F): 7.05 states/eV/f.u.